This record from Alexandria describes a relaxed NdSnHg crystal. The functional is PBE.

CIF file:
```
data_NdSnHg
_chemical_formula_sum 'Nd2 Sn2 Hg2'
_cell_length_a 3.7707
_cell_length_b 3.7707
_cell_length_c 11.5972
_cell_angle_alpha 90.00
_cell_angle_beta 90.00
_cell_angle_gamma 90.00
_space_group_name_H-M_alt 'I 4 m m'
_space_group_IT_number 107
_space_group_name_Hall 'I 4 -2'
loop_
_atom_site_label
_atom_site_type_symbol
_atom_site_fract_x
_atom_site_fract_y
_atom_site_fract_z
_atom_site_occupancy
Nd1 Nd 0.0000 0.0000 0.0000 1
Sn1 Sn 0.0000 0.0000 0.3148 1
Hg1 Hg 0.0000 0.0000 0.6654 1
```

Values from the calculation:
DOS(E_F) = 0.670 states/eV per atom
energy of formation from the pure elements = -113.1 kJ/mol of formula units
total energy = -3.415 eV per atom
total magnetization = 0.000 μB per formula unit

This record from Alexandria describes a relaxed NdSnHg2 crystal. The functional is PBE.

CIF file:
```
data_NdSnHg2
_chemical_formula_sum 'Nd1 Sn1 Hg2'
_cell_length_a 3.8610
_cell_length_b 3.8610
_cell_length_c 7.1113
_cell_angle_alpha 90.00
_cell_angle_beta 90.00
_cell_angle_gamma 90.00
_space_group_name_H-M_alt 'P 4/m m m'
_space_group_IT_number 123
_space_group_name_Hall '-P 4 2'
loop_
_atom_site_label
_atom_site_type_symbol
_atom_site_fract_x
_atom_site_fract_y
_atom_site_fract_z
_atom_site_occupancy
Nd1 Nd 0.0000 0.0000 0.0000 1
Sn1 Sn 0.0000 0.0000 0.5000 1
Hg1 Hg 0.5000 0.5000 0.2606 1
```

Values from the calculation:
DOS(E_F) = 0.513 states/eV per atom
energy of formation from the pure elements = -121.2 kJ/mol of formula units
total energy = -2.658 eV per atom
total magnetization = 0.378 μB per formula unit

This record from Alexandria describes a relaxed Nd6SnHg5 crystal. The functional is PBE.

CIF file:
```
data_Nd6SnHg5
_chemical_formula_sum 'Nd12 Sn2 Hg10'
_cell_length_a 17.2144
_cell_length_b 7.7003
_cell_length_c 5.4273
_cell_angle_alpha 90.00
_cell_angle_beta 108.26
_cell_angle_gamma 90.00
_space_group_name_H-M_alt 'C 1 2/m 1'
_space_group_IT_number 12
_space_group_name_Hall '-C 2y'
loop_
_atom_site_label
_atom_site_type_symbol
_atom_site_fract_x
_atom_site_fract_y
_atom_site_fract_z
_atom_site_occupancy
Nd1 Nd 0.0000 0.2488 0.0000 1
Nd2 Nd 0.1663 0.2494 0.6664 1
Sn1 Sn 0.0000 0.0000 0.5000 1
Hg1 Hg 0.0000 0.5000 0.5000 1
Hg2 Hg 0.1664 0.5000 0.1664 1
Hg3 Hg 0.1721 0.0000 0.1720 1
```

Values from the calculation:
DOS(E_F) = 1.063 states/eV per atom
energy of formation from the pure elements = -600.1 kJ/mol of formula units
total energy = -3.362 eV per atom
total magnetization = 2.496 μB per formula unit

This record from Alexandria describes a relaxed Nd3Sn3Hg crystal. The functional is PBE.

CIF file:
```
data_Nd3Sn3Hg
_chemical_formula_sum 'Nd12 Sn12 Hg4'
_cell_length_a 11.8398
_cell_length_b 4.6576
_cell_length_c 15.3853
_cell_angle_alpha 90.00
_cell_angle_beta 107.88
_cell_angle_gamma 90.00
_space_group_name_H-M_alt 'C 1 2/m 1'
_space_group_IT_number 12
_space_group_name_Hall '-C 2y'
loop_
_atom_site_label
_atom_site_type_symbol
_atom_site_fract_x
_atom_site_fract_y
_atom_site_fract_z
_atom_site_occupancy
Nd1 Nd 0.0154 0.0000 0.3755 1
Nd2 Nd 0.1059 0.0000 0.9239 1
Nd3 Nd 0.2290 0.0000 0.2268 1
Sn1 Sn 0.0013 0.5000 0.7775 1
Sn2 Sn 0.1190 0.5000 0.0752 1
Sn3 Sn 0.1345 0.5000 0.5429 1
Hg1 Hg 0.2242 0.5000 0.3777 1
```

Values from the calculation:
DOS(E_F) = 0.740 states/eV per atom
energy of formation from the pure elements = -453.0 kJ/mol of formula units
total energy = -4.473 eV per atom
total magnetization = 0.000 μB per formula unit
energy above the most stable polymorph in this dataset = 0 meV per atom